(1)
Dy3TlAu2 | PBE | relaxed

## Properties
The calculation puts the energy relative to the elements at -400 kJ/mol of formula units. For the energy, the calculation gives -26.9 eV per formula unit. The symmetry is No. 123. For the total magnetization, the calculation gives 0.0 Bohr magnetons per cell.

a = 3.6025 Å, b = 3.6025 Å, c = 11.4162 Å
α = 90.00°, β = 90.00°, γ = 90.00°
Fractional coordinates of all 6 atoms:
Dy 0.0000 0.0000 0.0000
Dy 0.0000 0.0000 0.3143
Dy 0.0000 0.0000 0.6857
Tl 0.5000 0.5000 0.5000
Au 0.5000 0.5000 0.1619
Au 0.5000 0.5000 0.8381

---

(2)
Dy5TlAu4 | PBE | relaxed

## Properties
The calculation puts the energy relative to the elements at -730 kJ/mol of formula units. For the energy, the calculation gives -46.0 eV per formula unit. The symmetry is No. 123. For the total magnetization, the calculation gives 0.0 Bohr magnetons per cell.

a = 3.5940 Å, b = 3.5940 Å, c = 18.6686 Å
α = 90.00°, β = 90.00°, γ = 90.00°
Fractional coordinates of all 10 atoms:
Dy 0.0000 0.0000 0.0000
Dy 0.0000 0.0000 0.1937
Dy 0.0000 0.0000 0.3863
Dy 0.0000 0.0000 0.6137
Dy 0.0000 0.0000 0.8063
Tl 0.5000 0.5000 0.5000
Au 0.5000 0.5000 0.0968
Au 0.5000 0.5000 0.2920
Au 0.5000 0.5000 0.7080
Au 0.5000 0.5000 0.9032

---

(3)
Dy4Tl5Au2 | PBE | relaxed

## Properties
The calculation puts the energy relative to the elements at -480 kJ/mol of formula units. For the energy, the calculation gives -41.8 eV per formula unit. The symmetry is No. 10. For the total magnetization, the calculation gives 0.0 Bohr magnetons per cell.

a = 8.0809 Å, b = 3.6623 Å, c = 9.8167 Å
α = 90.00°, β = 93.14°, γ = 90.00°
Fractional coordinates of all 11 atoms:
Dy 0.2056 0.0000 0.3548
Dy 0.2182 0.0000 0.9207
Dy 0.7818 0.0000 0.0793
Dy 0.7944 0.0000 0.6452
Tl 0.1434 0.5000 0.6304
Tl 0.4641 0.5000 0.1649
Tl 0.5000 0.5000 0.5000
Tl 0.5359 0.5000 0.8351
Tl 0.8566 0.5000 0.3696
Au 0.0814 0.5000 0.1332
Au 0.9186 0.5000 0.8668

---

(4)
Dy5TlAu | PBE | relaxed

## Properties
The calculation puts the energy relative to the elements at -143 kJ/mol of formula units. For the energy, the calculation gives -30.1 eV per formula unit. The symmetry is No. 15. For the total magnetization, the calculation gives 0.0 Bohr magnetons per cell.

a = 6.5421 Å, b = 6.5421 Å, c = 9.8973 Å
α = 93.37°, β = 93.37°, γ = 91.78°
Fractional coordinates of all 14 atoms:
Dy 0.0711 0.6172 0.3434
Dy 0.1433 0.8567 0.7500
Dy 0.2254 0.3939 0.9968
Dy 0.3828 0.9289 0.1566
Dy 0.3939 0.2254 0.4968
Dy 0.6061 0.7746 0.5032
Dy 0.6172 0.0711 0.8434
Dy 0.7746 0.6061 0.0032
Dy 0.8567 0.1433 0.2500
Dy 0.9289 0.3828 0.6566
Tl 0.4736 0.5264 0.7500
Tl 0.5264 0.4736 0.2500
Au 0.0000 0.0000 0.0000
Au 0.0000 0.0000 0.5000

---

(5)
Dy6Tl5Au | PBE | relaxed

## Properties
The calculation puts the energy relative to the elements at -474 kJ/mol of formula units. For the energy, the calculation gives -47.6 eV per formula unit. The symmetry is No. 65. For the total magnetization, the calculation gives 0.0 Bohr magnetons per cell.

a = 8.4336 Å, b = 8.4336 Å, c = 7.5224 Å
α = 90.00°, β = 90.00°, γ = 143.15°
Fractional coordinates of all 12 atoms:
Dy 0.0000 0.0000 0.2397
Dy 0.0000 0.0000 0.7603
Dy 0.3387 0.6613 0.2448
Dy 0.3387 0.6613 0.7552
Dy 0.6613 0.3387 0.2448
Dy 0.6613 0.3387 0.7552
Tl 0.1675 0.8325 0.0000
Tl 0.1689 0.8311 0.5000
Tl 0.5000 0.5000 0.5000
Tl 0.8311 0.1689 0.5000
Tl 0.8325 0.1675 0.0000
Au 0.5000 0.5000 0.0000

---

(6)
Dy11Tl9Au4 | PBE | relaxed

## Properties
The calculation puts the energy relative to the elements at -1196 kJ/mol of formula units. For the energy, the calculation gives -97.4 eV per formula unit. The symmetry is No. 65. For the total magnetization, the calculation gives 0.0 Bohr magnetons per cell.

a = 13.4460 Å, b = 13.4460 Å, c = 3.7586 Å
α = 90.00°, β = 90.00°, γ = 112.82°
Fractional coordinates of all 24 atoms:
Dy 0.0000 0.0000 0.0000
Dy 0.0743 0.4144 0.0000
Dy 0.1623 0.8377 0.0000
Dy 0.3012 0.3012 0.0000
Dy 0.3683 0.6317 0.0000
Dy 0.4144 0.0743 0.0000
Dy 0.5856 0.9257 0.0000
Dy 0.6317 0.3683 0.0000
Dy 0.6988 0.6988 0.0000
Dy 0.8377 0.1623 0.0000
Dy 0.9257 0.5856 0.0000
Tl 0.0618 0.2115 0.5000
Tl 0.1475 0.6323 0.5000
Tl 0.2115 0.0618 0.5000
Tl 0.3677 0.8525 0.5000
Tl 0.5000 0.5000 0.5000
Tl 0.6323 0.1475 0.5000
Tl 0.7885 0.9382 0.5000
Tl 0.8525 0.3677 0.5000
Tl 0.9382 0.7885 0.5000
Au 0.2510 0.4496 0.5000
Au 0.4496 0.2510 0.5000
Au 0.5504 0.7490 0.5000
Au 0.7490 0.5504 0.5000

---

(7)
Dy5Tl2Au | PBE | relaxed

## Properties
The calculation puts the energy relative to the elements at -221 kJ/mol of formula units. For the energy, the calculation gives -33.3 eV per formula unit. The symmetry is No. 107. For the total magnetization, the calculation gives 0.0 Bohr magnetons per cell.

a = 6.9778 Å, b = 6.9778 Å, c = 8.8807 Å
α = 90.00°, β = 90.00°, γ = 90.00°
Fractional coordinates of all 16 atoms:
Dy 0.0000 0.0000 0.0000
Dy 0.2460 0.2460 0.7404
Dy 0.2460 0.7540 0.7404
Dy 0.2540 0.2540 0.2404
Dy 0.2540 0.7460 0.2404
Dy 0.5000 0.5000 0.5000
Dy 0.7460 0.2540 0.2404
Dy 0.7460 0.7460 0.2404
Dy 0.7540 0.2460 0.7404
Dy 0.7540 0.7540 0.7404
Tl 0.0000 0.5000 0.4932
Tl 0.0000 0.5000 0.9932
Tl 0.5000 0.0000 0.4932
Tl 0.5000 0.0000 0.9932
Au 0.0000 0.0000 0.4366
Au 0.5000 0.5000 0.9366

---

(8)
Dy8TlAu2 | PBE | relaxed

## Properties
The calculation puts the energy relative to the elements at -399 kJ/mol of formula units. For the energy, the calculation gives -49.9 eV per formula unit. The symmetry is No. 12. For the total magnetization, the calculation gives 0.0 Bohr magnetons per cell.

a = 9.3267 Å, b = 9.3267 Å, c = 7.1637 Å
α = 106.64°, β = 106.64°, γ = 31.69°
Fractional coordinates of all 11 atoms:
Dy 0.0326 0.0326 0.2612
Dy 0.1968 0.1968 0.8188
Dy 0.3270 0.3270 0.5302
Dy 0.4071 0.4071 0.0338
Dy 0.5929 0.5929 0.9662
Dy 0.6730 0.6730 0.4698
Dy 0.8032 0.8032 0.1812
Dy 0.9674 0.9674 0.7388
Tl 0.5000 0.5000 0.5000
Au 0.1867 0.1867 0.2117
Au 0.8133 0.8133 0.7883

---

(9)
Dy5Tl2Au | PBE | relaxed

## Properties
The calculation puts the energy relative to the elements at -313 kJ/mol of formula units. For the energy, the calculation gives -34.3 eV per formula unit. The symmetry is No. 55. For the total magnetization, the calculation gives 0.0 Bohr magnetons per cell.

a = 6.9491 Å, b = 12.9028 Å, c = 4.9530 Å
α = 90.00°, β = 90.00°, γ = 90.00°
Fractional coordinates of all 16 atoms:
Dy 0.0000 0.0000 0.0000
Dy 0.1208 0.2797 0.0000
Dy 0.1737 0.5949 0.5000
Dy 0.3263 0.0949 0.5000
Dy 0.3792 0.7797 0.0000
Dy 0.5000 0.5000 0.0000
Dy 0.6208 0.2203 0.0000
Dy 0.6737 0.9051 0.5000
Dy 0.8263 0.4051 0.5000
Dy 0.8792 0.7203 0.0000
Tl 0.1211 0.8463 0.5000
Tl 0.3789 0.3463 0.5000
Tl 0.6211 0.6537 0.5000
Tl 0.8789 0.1537 0.5000
Au 0.0000 0.5000 0.0000
Au 0.5000 0.0000 0.0000

---

(10)
Dy12TlAu6 | PBE | relaxed

## Properties
The calculation puts the energy relative to the elements at -708 kJ/mol of formula units. For the energy, the calculation gives -84.6 eV per formula unit. The symmetry is No. 148. For the total magnetization, the calculation gives 0.0 Bohr magnetons per cell.

a = 8.5764 Å, b = 8.5764 Å, c = 8.5764 Å
α = 101.43°, β = 101.43°, γ = 101.43°
Fractional coordinates of all 19 atoms:
Dy 0.0658 0.9194 0.3297
Dy 0.0806 0.6703 0.9342
Dy 0.1779 0.4267 0.5702
Dy 0.3297 0.0658 0.9194
Dy 0.4267 0.5702 0.1779
Dy 0.4298 0.8221 0.5733
Dy 0.5702 0.1779 0.4267
Dy 0.5733 0.4298 0.8221
Dy 0.6703 0.9342 0.0806
Dy 0.8221 0.5733 0.4298
Dy 0.9194 0.3297 0.0658
Dy 0.9342 0.0806 0.6703
Tl 0.0000 0.0000 0.0000
Au 0.1396 0.6082 0.3064
Au 0.3064 0.1396 0.6082
Au 0.3918 0.6936 0.8604
Au 0.6082 0.3064 0.1396
Au 0.6936 0.8604 0.3918
Au 0.8604 0.3918 0.6936